Run w
Tb2Tm2Sc3: relaxed, PBE.

Structure (CIF):
```
data_Tb2Tm2Sc3
_cell_length_a 9.291
_cell_length_b 9.291
_cell_length_c 9.291
_cell_angle_alpha 90.00
_cell_angle_beta 90.00
_cell_angle_gamma 90.00
_symmetry_space_group_name_H-M 'I 21 3'
_symmetry_Int_Tables_number 199
_symmetry_space_group_name_Hall 'I 2b 2c 3'
loop_
_atom_site_label
_atom_site_type_symbol
_atom_site_fract_x
_atom_site_fract_y
_atom_site_fract_z
_atom_site_occupancy
Tb1 Tb 0.091 0.409 0.591 1
Tm1 Tm 0.207 0.207 0.207 1
Sc1 Sc 0.000 0.250 0.946 1
```

Run x
Tb2Tm2Sc3: relaxed, PBE.

Structure (CIF):
```
data_Tb2Tm2Sc3
_cell_length_a 10.761
_cell_length_b 4.820
_cell_length_c 7.650
_cell_angle_alpha 90.00
_cell_angle_beta 98.27
_cell_angle_gamma 90.00
_symmetry_space_group_name_H-M 'C 1 2/m 1'
_symmetry_Int_Tables_number 12
loop_
_symmetry_equiv_pos_as_xyz
'x,y,z'
'-x,-y,-z'
'-x,y,-z'
'x,-y,z'
'x+1/2,y+1/2,z'
'-x+1/2,-y+1/2,-z'
'-x+1/2,y+1/2,-z'
'x+1/2,-y+1/2,z'
loop_
_atom_site_label
_atom_site_type_symbol
_atom_site_fract_x
_atom_site_fract_y
_atom_site_fract_z
_atom_site_occupancy
Tb1 Tb 0.212 0.000 0.146 1
Tm1 Tm 0.071 0.000 0.710 1
Sc1 Sc 0.000 0.500 0.000 1
Sc2 Sc 0.143 0.500 0.428 1
```

Which of them is the least stable? Correct choice: run w.

Run w
TbTmScZn: relaxed, PBE.

Structure (CIF):
```
data_TbTmScZn
_cell_length_a 7.341
_cell_length_b 7.341
_cell_length_c 7.341
_cell_angle_alpha 90.00
_cell_angle_beta 90.00
_cell_angle_gamma 90.00
_symmetry_space_group_name_H-M 'F -4 3 m'
_symmetry_Int_Tables_number 216
_symmetry_space_group_name_Hall 'F -4 2 3'
loop_
_atom_site_label
_atom_site_type_symbol
_atom_site_fract_x
_atom_site_fract_y
_atom_site_fract_z
_atom_site_occupancy
Tb1 Tb 0.000 0.000 0.000 1
Tm1 Tm 0.000 0.000 0.500 1
Sc1 Sc 0.250 0.250 0.750 1
Zn1 Zn 0.250 0.250 0.250 1
```

Run x
TbTmScZn: relaxed, PBE.

Structure (CIF):
```
data_TbTmScZn
_cell_length_a 3.497
_cell_length_b 3.497
_cell_length_c 8.246
_cell_angle_alpha 90.00
_cell_angle_beta 90.00
_cell_angle_gamma 90.00
_symmetry_space_group_name_H-M 'P 4 m m'
_symmetry_Int_Tables_number 99
loop_
_symmetry_equiv_pos_as_xyz
'x,y,z'
'-y,x,z'
'-x,-y,z'
'y,-x,z'
'-x,y,z'
'y,x,z'
'x,-y,z'
'-y,-x,z'
loop_
_atom_site_label
_atom_site_type_symbol
_atom_site_fract_x
_atom_site_fract_y
_atom_site_fract_z
_atom_site_occupancy
Tb1 Tb 0.000 0.000 0.000 1
Tm1 Tm 0.000 0.000 0.564 1
Sc1 Sc 0.500 0.500 0.285 1
Zn1 Zn 0.500 0.500 0.776 1
```

Which of them is the least stable? Correct choice: run w.

Run w
Tb8Y2Sc: relaxed, PBE.

Structure (CIF):
```
data_Tb8Y2Sc
_cell_length_a 17.143
_cell_length_b 6.727
_cell_length_c 6.410
_cell_angle_alpha 90.00
_cell_angle_beta 109.41
_cell_angle_gamma 90.00
_symmetry_space_group_name_H-M 'C 1 2/m 1'
_symmetry_Int_Tables_number 12
loop_
_symmetry_equiv_pos_as_xyz
'x,y,z'
'-x,-y,-z'
'-x,y,-z'
'x,-y,z'
'x+1/2,y+1/2,z'
'-x+1/2,-y+1/2,-z'
'-x+1/2,y+1/2,-z'
'x+1/2,-y+1/2,z'
loop_
_atom_site_label
_atom_site_type_symbol
_atom_site_fract_x
_atom_site_fract_y
_atom_site_fract_z
_atom_site_occupancy
Tb1 Tb 0.059 0.000 0.249 1
Tb2 Tb 0.101 0.266 0.694 1
Tb3 Tb 0.204 0.500 0.318 1
Y1 Y 0.218 0.000 0.111 1
Sc1 Sc 0.000 0.500 0.000 1
```

Run x
Tb8Y2Sc: relaxed, PBE.

Structure (CIF):
```
data_Tb8Y2Sc
_cell_length_a 8.907
_cell_length_b 16.124
_cell_length_c 5.834
_cell_angle_alpha 90.00
_cell_angle_beta 123.23
_cell_angle_gamma 90.00
_symmetry_space_group_name_H-M 'C 1 2/m 1'
_symmetry_Int_Tables_number 12
loop_
_symmetry_equiv_pos_as_xyz
'x,y,z'
'-x,-y,-z'
'-x,y,-z'
'x,-y,z'
'x+1/2,y+1/2,z'
'-x+1/2,-y+1/2,-z'
'-x+1/2,y+1/2,-z'
'x+1/2,-y+1/2,z'
loop_
_atom_site_label
_atom_site_type_symbol
_atom_site_fract_x
_atom_site_fract_y
_atom_site_fract_z
_atom_site_occupancy
Tb1 Tb 0.000 0.202 0.000 1
Tb2 Tb 0.081 0.500 0.798 1
Tb3 Tb 0.216 0.116 0.678 1
Y1 Y 0.000 0.308 0.500 1
Sc1 Sc 0.000 0.000 0.000 1
```

Which of them is the least stable? Correct choice: run w.

Run w
Tb3Y7Sc: relaxed, PBE.

Structure (CIF):
```
data_Tb3Y7Sc
_cell_length_a 7.0334
_cell_length_b 7.0334
_cell_length_c 8.5500
_cell_angle_alpha 90.00
_cell_angle_beta 90.00
_cell_angle_gamma 120.00
_symmetry_space_group_name_H-M 'P 3 m 1'
_symmetry_Int_Tables_number 156
loop_
_symmetry_equiv_pos_as_xyz
'x,y,z'
'-y,x-y,z'
'-x+y,-x,z'
'-y,-x,z'
'-x+y,y,z'
'x,x-y,z'
loop_
_atom_site_label
_atom_site_type_symbol
_atom_site_fract_x
_atom_site_fract_y
_atom_site_fract_z
_atom_site_occupancy
Tb1 Tb 0.0023 0.5011 0.0000 1
Y1 Y 0.1686 0.3371 0.3398 1
Y2 Y 0.3354 0.1677 0.6697 1
Y3 Y 0.6667 0.3333 0.3379 1
Sc1 Sc 0.3333 0.6667 0.6667 1
```

Run x
Tb3Y7Sc: relaxed, PBE.

Structure (CIF):
```
data_Tb3Y7Sc
_cell_length_a 6.909
_cell_length_b 18.367
_cell_length_c 6.551
_cell_angle_alpha 90.00
_cell_angle_beta 121.67
_cell_angle_gamma 90.00
_symmetry_space_group_name_H-M 'C 1 2/m 1'
_symmetry_Int_Tables_number 12
loop_
_symmetry_equiv_pos_as_xyz
'x,y,z'
'-x,-y,-z'
'-x,y,-z'
'x,-y,z'
'x+1/2,y+1/2,z'
'-x+1/2,-y+1/2,-z'
'-x+1/2,y+1/2,-z'
'x+1/2,-y+1/2,z'
loop_
_atom_site_label
_atom_site_type_symbol
_atom_site_fract_x
_atom_site_fract_y
_atom_site_fract_z
_atom_site_occupancy
Tb1 Tb 0.000 0.000 0.000 1
Tb2 Tb 0.250 0.250 0.500 1
Y1 Y 0.000 0.086 0.500 1
Y2 Y 0.000 0.500 0.500 1
Y3 Y 0.218 0.340 0.940 1
Sc1 Sc 0.000 0.500 0.000 1
```

Which of them is the least stable? Correct choice: run w.

Run w
TbY2Sc5: relaxed, PBE.

Structure (CIF):
```
data_TbY2Sc5
_cell_length_a 6.878
_cell_length_b 10.710
_cell_length_c 11.912
_cell_angle_alpha 90.00
_cell_angle_beta 90.00
_cell_angle_gamma 90.00
_symmetry_space_group_name_H-M 'F m m 2'
_symmetry_Int_Tables_number 42
_symmetry_space_group_name_Hall 'F 2 -2'
loop_
_atom_site_label
_atom_site_type_symbol
_atom_site_fract_x
_atom_site_fract_y
_atom_site_fract_z
_atom_site_occupancy
Tb1 Tb 0.000 0.000 0.000 1
Y1 Y 0.000 0.245 0.670 1
Sc1 Sc 0.000 0.000 0.498 1
Sc2 Sc 0.247 0.000 0.255 1
Sc3 Sc 0.250 0.250 0.417 1
```

Run x
TbY2Sc5: relaxed, PBE.

Structure (CIF):
```
data_TbY2Sc5
_cell_length_a 6.813
_cell_length_b 6.813
_cell_length_c 9.375
_cell_angle_alpha 90.00
_cell_angle_beta 90.00
_cell_angle_gamma 90.00
_symmetry_space_group_name_H-M 'I 4/m m m'
_symmetry_Int_Tables_number 139
_symmetry_space_group_name_Hall '-I 4 2'
loop_
_atom_site_label
_atom_site_type_symbol
_atom_site_fract_x
_atom_site_fract_y
_atom_site_fract_z
_atom_site_occupancy
Tb1 Tb 0.000 0.000 0.000 1
Y1 Y 0.000 0.500 0.000 1
Sc1 Sc 0.000 0.000 0.500 1
Sc2 Sc 0.250 0.250 0.250 1
```

Which of them is the least stable? Correct choice: run x.

Run w
Tb5Y4Sc: relaxed, PBE.

Structure (CIF):
```
data_Tb5Y4Sc
_cell_length_a 10.560
_cell_length_b 10.560
_cell_length_c 5.800
_cell_angle_alpha 90.00
_cell_angle_beta 90.00
_cell_angle_gamma 90.00
_symmetry_space_group_name_H-M 'I 4 m m'
_symmetry_Int_Tables_number 107
_symmetry_space_group_name_Hall 'I 4 -2'
loop_
_atom_site_label
_atom_site_type_symbol
_atom_site_fract_x
_atom_site_fract_y
_atom_site_fract_z
_atom_site_occupancy
Tb1 Tb 0.000 0.000 0.000 1
Tb2 Tb 0.186 0.186 0.716 1
Y1 Y 0.000 0.321 0.227 1
Sc1 Sc 0.000 0.000 0.467 1
```

Run x
Tb5Y4Sc: relaxed, PBE.

Structure (CIF):
```
data_Tb5Y4Sc
_cell_length_a 17.505
_cell_length_b 3.460
_cell_length_c 10.966
_cell_angle_alpha 90.00
_cell_angle_beta 107.16
_cell_angle_gamma 90.00
_symmetry_space_group_name_H-M 'C 1 2/m 1'
_symmetry_Int_Tables_number 12
loop_
_symmetry_equiv_pos_as_xyz
'x,y,z'
'-x,-y,-z'
'-x,y,-z'
'x,-y,z'
'x+1/2,y+1/2,z'
'-x+1/2,-y+1/2,-z'
'-x+1/2,y+1/2,-z'
'x+1/2,-y+1/2,z'
loop_
_atom_site_label
_atom_site_type_symbol
_atom_site_fract_x
_atom_site_fract_y
_atom_site_fract_z
_atom_site_occupancy
Tb1 Tb 0.000 0.000 0.000 1
Tb2 Tb 0.105 0.500 0.787 1
Tb3 Tb 0.207 0.500 0.098 1
Y1 Y 0.092 0.500 0.309 1
Y2 Y 0.196 0.000 0.584 1
Sc1 Sc 0.000 0.000 0.500 1
```

Which of them is the least stable? Correct choice: run w.

Run w
Tb6YSc2: relaxed, PBE.

Structure (CIF):
```
data_Tb6YSc2
_cell_length_a 13.418
_cell_length_b 12.968
_cell_length_c 6.553
_cell_angle_alpha 90.00
_cell_angle_beta 105.24
_cell_angle_gamma 90.00
_symmetry_space_group_name_H-M 'C 1 2/c 1'
_symmetry_Int_Tables_number 15
loop_
_symmetry_equiv_pos_as_xyz
'x,y,z'
'-x,-y,-z'
'-x,y,-z+1/2'
'x,-y,z+1/2'
'x+1/2,y+1/2,z'
'-x+1/2,-y+1/2,-z'
'-x+1/2,y+1/2,-z+1/2'
'x+1/2,-y+1/2,z+1/2'
loop_
_atom_site_label
_atom_site_type_symbol
_atom_site_fract_x
_atom_site_fract_y
_atom_site_fract_z
_atom_site_occupancy
Tb1 Tb 0.027 0.142 0.000 1
Tb2 Tb 0.120 0.410 0.816 1
Tb3 Tb 0.243 0.206 0.733 1
Y1 Y 0.000 0.361 0.250 1
Sc1 Sc 0.184 0.028 0.375 1
```

Run x
Tb6YSc2: relaxed, PBE.

Structure (CIF):
```
data_Tb6YSc2
_cell_length_a 21.313
_cell_length_b 9.547
_cell_length_c 5.520
_cell_angle_alpha 90.00
_cell_angle_beta 104.88
_cell_angle_gamma 90.00
_symmetry_space_group_name_H-M 'C 1 2/c 1'
_symmetry_Int_Tables_number 15
loop_
_symmetry_equiv_pos_as_xyz
'x,y,z'
'-x,-y,-z'
'-x,y,-z+1/2'
'x,-y,z+1/2'
'x+1/2,y+1/2,z'
'-x+1/2,-y+1/2,-z'
'-x+1/2,y+1/2,-z+1/2'
'x+1/2,-y+1/2,z+1/2'
loop_
_atom_site_label
_atom_site_type_symbol
_atom_site_fract_x
_atom_site_fract_y
_atom_site_fract_z
_atom_site_occupancy
Tb1 Tb 0.087 0.083 0.341 1
Tb2 Tb 0.087 0.416 0.333 1
Tb3 Tb 0.170 0.250 0.920 1
Y1 Y 0.000 0.250 0.750 1
Sc1 Sc 0.250 0.083 0.497 1
```

Which of them is the least stable? Correct choice: run w.

Run w
Tb5Y2Sc2: relaxed, PBE.

Structure (CIF):
```
data_Tb5Y2Sc2
_cell_length_a 15.473
_cell_length_b 10.972
_cell_length_c 6.603
_cell_angle_alpha 90.00
_cell_angle_beta 90.00
_cell_angle_gamma 90.00
_symmetry_space_group_name_H-M 'I m a 2'
_symmetry_Int_Tables_number 46
loop_
_symmetry_equiv_pos_as_xyz
'x,y,z'
'-x,-y,z'
'-x+1/2,y,z'
'x+1/2,-y,z'
'x+1/2,y+1/2,z+1/2'
'-x+1/2,-y+1/2,z+1/2'
'-x,y+1/2,z+1/2'
'x,-y+1/2,z+1/2'
loop_
_atom_site_label
_atom_site_type_symbol
_atom_site_fract_x
_atom_site_fract_y
_atom_site_fract_z
_atom_site_occupancy
Tb1 Tb 0.071 0.247 0.000 1
Tb2 Tb 0.147 0.722 0.978 1
Tb3 Tb 0.250 0.148 0.711 1
Y1 Y 0.000 0.000 0.266 1
Y2 Y 0.250 0.022 0.200 1
Sc1 Sc 0.091 0.525 0.284 1
```

Run x
Tb5Y2Sc2: relaxed, PBE.

Structure (CIF):
```
data_Tb5Y2Sc2
_cell_length_a 17.629
_cell_length_b 3.451
_cell_length_c 9.411
_cell_angle_alpha 90.00
_cell_angle_beta 104.57
_cell_angle_gamma 90.00
_symmetry_space_group_name_H-M 'C 1 2/m 1'
_symmetry_Int_Tables_number 12
loop_
_symmetry_equiv_pos_as_xyz
'x,y,z'
'-x,-y,-z'
'-x,y,-z'
'x,-y,z'
'x+1/2,y+1/2,z'
'-x+1/2,-y+1/2,-z'
'-x+1/2,y+1/2,-z'
'x+1/2,-y+1/2,z'
loop_
_atom_site_label
_atom_site_type_symbol
_atom_site_fract_x
_atom_site_fract_y
_atom_site_fract_z
_atom_site_occupancy
Tb1 Tb 0.000 0.000 0.000 1
Tb2 Tb 0.159 0.500 0.215 1
Tb3 Tb 0.168 0.000 0.899 1
Y1 Y 0.146 0.000 0.530 1
Sc1 Sc 0.012 0.500 0.677 1
```

Which of them is the least stable? Correct choice: run w.

Run w
Tb7Y3Sc: relaxed, PBE.

Structure (CIF):
```
data_Tb7Y3Sc
_cell_length_a 7.0102
_cell_length_b 7.0102
_cell_length_c 8.5718
_cell_angle_alpha 90.00
_cell_angle_beta 90.00
_cell_angle_gamma 120.00
_symmetry_space_group_name_H-M 'P 3 m 1'
_symmetry_Int_Tables_number 156
loop_
_symmetry_equiv_pos_as_xyz
'x,y,z'
'-y,x-y,z'
'-x+y,-x,z'
'-y,-x,z'
'-x+y,y,z'
'x,x-y,z'
loop_
_atom_site_label
_atom_site_type_symbol
_atom_site_fract_x
_atom_site_fract_y
_atom_site_fract_z
_atom_site_occupancy
Tb1 Tb 0.0000 0.0000 0.0000 1
Tb2 Tb 0.1653 0.3306 0.6728 1
Tb3 Tb 0.5017 0.0035 0.0022 1
Y1 Y 0.3353 0.1677 0.3416 1
Sc1 Sc 0.6667 0.3333 0.6777 1
```

Run x
Tb7Y3Sc: relaxed, PBE.

Structure (CIF):
```
data_Tb7Y3Sc
_cell_length_a 6.972
_cell_length_b 18.208
_cell_length_c 11.129
_cell_angle_alpha 90.00
_cell_angle_beta 90.15
_cell_angle_gamma 90.00
_symmetry_space_group_name_H-M 'C 1 2/m 1'
_symmetry_Int_Tables_number 12
loop_
_symmetry_equiv_pos_as_xyz
'x,y,z'
'-x,-y,-z'
'-x,y,-z'
'x,-y,z'
'x+1/2,y+1/2,z'
'-x+1/2,-y+1/2,-z'
'-x+1/2,y+1/2,-z'
'x+1/2,-y+1/2,z'
loop_
_atom_site_label
_atom_site_type_symbol
_atom_site_fract_x
_atom_site_fract_y
_atom_site_fract_z
_atom_site_occupancy
Tb1 Tb 0.247 0.160 0.027 1
Tb2 Tb 0.248 0.340 0.528 1
Tb3 Tb 0.249 0.086 0.750 1
Tb4 Tb 0.249 0.500 0.750 1
Y1 Y 0.000 0.000 0.500 1
Y2 Y 0.000 0.250 0.250 1
Y3 Y 0.000 0.500 0.000 1
Sc1 Sc 0.000 0.000 0.000 1
Sc2 Sc 0.000 0.500 0.500 1
```

Which of them is the least stable? Correct choice: run w.

Run w
TbY2Sc4: relaxed, PBE.

Structure (CIF):
```
data_TbY2Sc4
_cell_length_a 6.525
_cell_length_b 8.442
_cell_length_c 8.517
_cell_angle_alpha 115.78
_cell_angle_beta 102.87
_cell_angle_gamma 101.77
_symmetry_space_group_name_H-M 'P 1'
_symmetry_Int_Tables_number 1
loop_
_symmetry_equiv_pos_as_xyz
'x,y,z'
loop_
_atom_site_label
_atom_site_type_symbol
_atom_site_fract_x
_atom_site_fract_y
_atom_site_fract_z
_atom_site_occupancy
Tb1 Tb 0.000 0.000 0.000 1
Tb2 Tb 0.250 0.841 0.632 1
Y1 Y 0.247 0.263 0.843 1
Y2 Y 0.501 0.718 0.151 1
Y3 Y 0.743 0.492 0.378 1
Y4 Y 0.781 0.336 0.938 1
Sc1 Sc 0.035 0.792 0.233 1
Sc2 Sc 0.056 0.588 0.800 1
Sc3 Sc 0.228 0.454 0.296 1
Sc4 Sc 0.469 0.167 0.470 1
Sc5 Sc 0.525 0.044 0.070 1
Sc6 Sc 0.547 0.610 0.745 1
Sc7 Sc 0.738 0.921 0.588 1
Sc8 Sc 0.959 0.192 0.432 1
```

Run x
TbY2Sc4: relaxed, PBE.

Structure (CIF):
```
data_TbY2Sc4
_cell_length_a 3.620
_cell_length_b 21.157
_cell_length_c 5.235
_cell_angle_alpha 90.00
_cell_angle_beta 90.00
_cell_angle_gamma 90.00
_symmetry_space_group_name_H-M 'C m m m'
_symmetry_Int_Tables_number 65
_symmetry_space_group_name_Hall '-C 2 2'
loop_
_atom_site_label
_atom_site_type_symbol
_atom_site_fract_x
_atom_site_fract_y
_atom_site_fract_z
_atom_site_occupancy
Tb1 Tb 0.000 0.000 0.000 1
Y1 Y 0.000 0.426 0.500 1
Sc1 Sc 0.000 0.198 0.500 1
Sc2 Sc 0.000 0.318 0.000 1
```

Which of them is the least stable? Correct choice: run x.